1.
YCo2Te: optimized geometry, GGA-PBE.

Summary:
**Space group**: R-3m

a b c (Å): 5.348 5.348 5.348
angles (deg): 46.45 46.45 46.45
Sites, in units of the cell vectors:
Co1 0.951 0.951 0.951
Co2 0.549 0.549 0.549
Te1 0.250 0.250 0.250
Y1 0.750 0.750 0.750

***

2.
Y4CoTe: optimized geometry, GGA-PBE.

Summary:
**Space group**: Pnma
**ΔE to the lowest computed polymorph**: 0.000 eV per atom

a b c (Å): 3.912 8.247 19.406
angles (deg): 90.00 90.00 90.00
Sites, in units of the cell vectors:
Y1 0.750 0.857 0.644
Y2 0.250 0.143 0.356
Y3 0.250 0.643 0.144
Y4 0.750 0.357 0.856
Y5 0.750 0.856 0.453
Y6 0.250 0.144 0.547
Y7 0.250 0.644 0.953
Y8 0.750 0.356 0.047
Y9 0.750 0.009 0.932
Y10 0.250 0.991 0.068
Y11 0.250 0.491 0.432
Y12 0.750 0.509 0.568
Y13 0.750 0.961 0.217
Y14 0.250 0.039 0.783
Y15 0.250 0.539 0.717
Y16 0.750 0.461 0.283
Co1 0.750 0.244 0.451
Co2 0.250 0.756 0.549
Co3 0.250 0.256 0.951
Co4 0.750 0.744 0.049
Te1 0.750 0.740 0.812
Te2 0.250 0.260 0.188
Te3 0.250 0.760 0.312
Te4 0.750 0.240 0.688

***

3.
YCo2Te: optimized geometry, GGA-PBE.

Summary:
**Space group**: R3m

a b c (Å): 4.102 4.102 5.860
angles (deg): 69.52 69.52 59.98
Site moments in Bohr magnetons follow the coordinates.
Sites, in units of the cell vectors:
Co1 0.951 0.951 0.146  1.39
Co2 0.282 0.282 0.152  1.46
Te1 0.534 0.534 0.398  0.04
Y1 0.732 0.732 0.803  -0.06

***

no.,D(E_F) (states/eV/f.u.),formation energy from raw total energies (meV/atom)
1,4.6,-217
2,5.7,-545
3,3.6,-301